Entry 1:
First-principles (PBE) data for a geometry-optimized HgAsAu2 structure, as listed in the Alexandria database.

It has space group I-42d (No. 122), with a = 4.9120 Å, b = 4.9120 Å, c = 16.2020 Å, α = 90.00°, β = 90.00° and γ = 90.00°. The inequivalent atoms are Hg at (0.0000, 0.0000, 0.0000), As at (0.0000, 0.0000, 0.5000) and Au at (0.1752, 0.2500, 0.6250).

For the formation energy, the calculation gives 0.1403 eV/atom. As for the raw total energy: -2.74 eV/atom.

=====

Entry 2:
First-principles (PBE) data for a geometry-optimized Hg2As2Au structure, as listed in the Alexandria database.

It has space group I4/mmm (No. 139), with a = 3.6948 Å, b = 3.6948 Å, c = 16.8004 Å, α = 90.00°, β = 90.00° and γ = 90.00°. The inequivalent atoms are Hg at (0.0000, 0.0000, 0.0924), As at (0.0000, 0.5000, 0.2500) and Au at (0.0000, 0.0000, 0.5000).

For the formation energy, the calculation gives 0.2785 eV/atom. As for the raw total energy: -2.36 eV/atom.

=====

Entry 3:
First-principles (PBE) data for a geometry-optimized HgAsAu2 structure, as listed in the Alexandria database.

It has space group R-3m (No. 166, hexagonal axes), with a = 3.7024 Å, b = 3.7024 Å, c = 21.7114 Å, α = 90.00°, β = 90.00° and γ = 120.00°. The inequivalent atoms are Hg at (0.0000, 0.0000, 0.0000), As at (0.0000, 0.0000, 0.5000) and Au at (0.0000, 0.0000, 0.2426).

For the formation energy, the calculation gives 0.1292 eV/atom. As for the raw total energy: -2.75 eV/atom.

=====

Entry 4:
First-principles (PBE) data for a geometry-optimized HgAs2Au structure, as listed in the Alexandria database.

It has space group Pmm2 (No. 25), with a = 5.1746 Å, b = 5.4011 Å, c = 3.0257 Å, α = 90.00°, β = 90.00° and γ = 90.00°. The inequivalent atoms are Hg at (0.0000, 0.0000, 0.0000), As at (0.0000, 0.5000, 0.8813), As at (0.5000, 0.5000, 0.5724) and Au at (0.5000, 0.0000, 0.5229).

For the formation energy, the calculation gives 0.1565 eV/atom. As for the raw total energy: -3.06 eV/atom.

=====

Entry 5:
First-principles (PBE) data for a geometry-optimized HgAs2Au structure, as listed in the Alexandria database.

It has space group Immm (No. 71), with a = 2.8451 Å, b = 5.4879 Å, c = 10.7585 Å, α = 90.00°, β = 90.00° and γ = 90.00°. The inequivalent atoms are Hg at (0.0000, 0.0000, 0.0000), As at (0.0000, 0.5000, 0.2228) and Au at (0.0000, 0.0000, 0.5000).

For the formation energy, the calculation gives 0.2421 eV/atom. As for the raw total energy: -2.98 eV/atom.

=====

Entry 6:
First-principles (PBE) data for a geometry-optimized HgAs2Au structure, as listed in the Alexandria database.

It has space group Fm-3m (No. 225), with a = 6.8755 Å, b = 6.8755 Å, c = 6.8755 Å, α = 90.00°, β = 90.00° and γ = 90.00°. The inequivalent atoms are Hg at (0.0000, 0.0000, 0.0000), As at (0.2500, 0.2500, 0.2500) and Au at (0.0000, 0.0000, 0.5000).

For the formation energy, the calculation gives 0.4449 eV/atom. As for the raw total energy: -2.77 eV/atom.

=====

| no. | ρ (kg/m3) |
| --- | --- |
| 1 | 11375 |
| 2 | 10831 |
| 3 | 12939 |
| 4 | 10749 |
| 5 | 10822 |
| 6 | 11187 |